(i)
# YNbCr2 (PBE, relaxed)
data_YNbCr2
_space_group_name_H-M_alt 'I 41/a m d'
_space_group_IT_number 141
_cell_length_a 4.532
_cell_length_b 4.532
_cell_length_c 17.164
_cell_angle_alpha 90.00
_cell_angle_beta 90.00
_cell_angle_gamma 90.00
loop_
_space_group_symop_operation_xyz
'x,y,z'
'-x,-y,-z'
'-y+1/4,x+3/4,z+1/4'
'y+1/4,-x+3/4,-z+1/4'
'-x+1/2,-y,z+1/2'
'x+1/2,y,-z+1/2'
'y+1/4,-x+1/4,z+3/4'
'-y+1/4,x+1/4,-z+3/4'
'x,-y,-z'
'-x,y,z'
'-y+1/4,-x+1/4,-z+3/4'
'y+1/4,x+1/4,z+3/4'
'-x+1/2,y,-z+1/2'
'x+1/2,-y,z+1/2'
'y+1/4,x+3/4,-z+1/4'
'-y+1/4,-x+3/4,z+1/4'
'x+1/2,y+1/2,z+1/2'
'-x+1/2,-y+1/2,-z+1/2'
'-y+3/4,x+1/4,z+3/4'
'y+3/4,-x+1/4,-z+3/4'
'-x,-y+1/2,z'
'x,y+1/2,-z'
'y+3/4,-x+3/4,z+1/4'
'-y+3/4,x+3/4,-z+1/4'
'x+1/2,-y+1/2,-z+1/2'
'-x+1/2,y+1/2,z+1/2'
'-y+3/4,-x+3/4,-z+1/4'
'y+3/4,x+3/4,z+1/4'
'-x,y+1/2,-z'
'x,-y+1/2,z'
'y+3/4,x+1/4,-z+3/4'
'-y+3/4,-x+1/4,z+3/4'
loop_
_atom_site_label
_atom_site_fract_x
_atom_site_fract_y
_atom_site_fract_z
Y1 0.000 0.250 0.375
Nb1 0.000 0.250 0.875
Cr1 0.000 0.000 0.000
# * magnetic moment: 1.8 μB per formula unit

(ii)
# YNbCr2 (PBE, relaxed)
data_YNbCr2
_space_group_name_H-M_alt 'F m -3 m'
_space_group_IT_number 225
_space_group_name_Hall '-F 4 2 3'
_cell_length_a 6.610
_cell_length_b 6.610
_cell_length_c 6.610
_cell_angle_alpha 90.00
_cell_angle_beta 90.00
_cell_angle_gamma 90.00
loop_
_atom_site_label
_atom_site_fract_x
_atom_site_fract_y
_atom_site_fract_z
Y1 0.000 0.000 0.000
Nb1 0.000 0.000 0.500
Cr1 0.250 0.250 0.250
# * magnetic moment: 3.8 μB per formula unit

(ii) is the most stable structure; the next one sits 54.7 kJ/mol of atoms above it.

(i)
# Y3NbCr (PBE, relaxed)
data_Y3NbCr
_space_group_name_H-M_alt 'P m -3 m'
_space_group_IT_number 221
_space_group_name_Hall '-P 4 2 3'
_cell_length_a 5.113
_cell_length_b 5.113
_cell_length_c 5.113
_cell_angle_alpha 90.00
_cell_angle_beta 90.00
_cell_angle_gamma 90.00
loop_
_atom_site_label
_atom_site_fract_x
_atom_site_fract_y
_atom_site_fract_z
Y1 0.000 0.000 0.500
Nb1 0.500 0.500 0.500
Cr1 0.000 0.000 0.000
# * magnetic moment: 0.5 μB per formula unit

(ii)
# Y3NbCr (PBE, relaxed)
data_Y3NbCr
_space_group_name_H-M_alt 'P m -3 m'
_space_group_IT_number 221
_space_group_name_Hall '-P 4 2 3'
_cell_length_a 5.396
_cell_length_b 5.396
_cell_length_c 5.396
_cell_angle_alpha 90.00
_cell_angle_beta 90.00
_cell_angle_gamma 90.00
loop_
_atom_site_label
_atom_site_fract_x
_atom_site_fract_y
_atom_site_fract_z
Y1 0.000 0.000 0.500
Nb1 0.000 0.000 0.000
Cr1 0.500 0.500 0.500
# * magnetic moment: 4.3 μB per formula unit

(ii) is the most stable structure; the next one sits 5.2 kJ/mol of atoms above it.

(i)
# Nb3ZnCr (PBE, relaxed)
data_Nb3ZnCr
_space_group_name_H-M_alt 'P m -3 m'
_space_group_IT_number 221
_space_group_name_Hall '-P 4 2 3'
_cell_length_a 4.604
_cell_length_b 4.604
_cell_length_c 4.604
_cell_angle_alpha 90.00
_cell_angle_beta 90.00
_cell_angle_gamma 90.00
loop_
_atom_site_label
_atom_site_fract_x
_atom_site_fract_y
_atom_site_fract_z
Nb1 0.000 0.000 0.500
Zn1 0.500 0.500 0.500
Cr1 0.000 0.000 0.000
# * magnetic moment: 0.0 μB per formula unit

(ii)
# Nb3ZnCr (PBE, relaxed)
data_Nb3ZnCr
_space_group_name_H-M_alt 'P m -3 m'
_space_group_IT_number 221
_space_group_name_Hall '-P 4 2 3'
_cell_length_a 4.661
_cell_length_b 4.661
_cell_length_c 4.661
_cell_angle_alpha 90.00
_cell_angle_beta 90.00
_cell_angle_gamma 90.00
loop_
_atom_site_label
_atom_site_fract_x
_atom_site_fract_y
_atom_site_fract_z
Nb1 0.000 0.000 0.500
Zn1 0.000 0.000 0.000
Cr1 0.500 0.500 0.500
# * magnetic moment: 0.0 μB per formula unit

(i) is the most stable structure; the next one sits 75.9 kJ/mol of atoms above it.

(i)
# NbZn2Cr (PBE, relaxed)
data_NbZn2Cr
_space_group_name_H-M_alt 'I -4 2 d'
_space_group_IT_number 122
_space_group_name_Hall 'I -4 2bw'
_cell_length_a 3.619
_cell_length_b 3.619
_cell_length_c 19.355
_cell_angle_alpha 90.00
_cell_angle_beta 90.00
_cell_angle_gamma 90.00
loop_
_atom_site_label
_atom_site_fract_x
_atom_site_fract_y
_atom_site_fract_z
Nb1 0.000 0.000 0.000
Zn1 0.237 0.250 0.625
Cr1 0.000 0.000 0.500
# * magnetic moment: 0.0 μB per formula unit

(ii)
# NbZn2Cr (PBE, relaxed)
data_NbZn2Cr
_space_group_name_H-M_alt 'F m -3 m'
_space_group_IT_number 225
_space_group_name_Hall '-F 4 2 3'
_cell_length_a 6.250
_cell_length_b 6.250
_cell_length_c 6.250
_cell_angle_alpha 90.00
_cell_angle_beta 90.00
_cell_angle_gamma 90.00
loop_
_atom_site_label
_atom_site_fract_x
_atom_site_fract_y
_atom_site_fract_z
Nb1 0.000 0.000 0.000
Zn1 0.250 0.250 0.250
Cr1 0.000 0.000 0.500
# * magnetic moment: 2.6 μB per formula unit

(ii) is the most stable structure; the next one sits 32.7 kJ/mol of atoms above it.